No. 1
A plane-wave DFT calculation with SCAN was carried out for a crystal of HoH3 relaxed with PBEsol.

abc: 6.174 6.174 6.399
angles: 90.00 90.00 120.00
Atoms (fractional coordinates):
Ho  0.000  0.336  0.250
Ho  0.000  0.664  0.750
Ho  0.336  0.000  0.250
Ho  0.336  0.336  0.750
Ho  0.664  0.000  0.750
Ho  0.664  0.664  0.250
H  0.000  0.000  0.250
H  0.000  0.000  0.750
H  0.025  0.348  0.594
H  0.025  0.678  0.094
H  0.322  0.348  0.094
H  0.322  0.975  0.594
H  0.333  0.667  0.322
H  0.333  0.667  0.822
H  0.348  0.025  0.906
H  0.348  0.322  0.406
H  0.652  0.678  0.594
H  0.652  0.975  0.094
H  0.667  0.333  0.178
H  0.667  0.333  0.678
H  0.678  0.025  0.406
H  0.678  0.652  0.906
H  0.975  0.322  0.906
H  0.975  0.652  0.406

---

No. 2
A plane-wave DFT calculation with SCAN was carried out for a crystal of HoHSO5 relaxed with PBEsol.

abc: 7.895 10.847 10.868
angles: 90.00 132.54 90.00
Atoms (fractional coordinates):
Ho  0.213  0.061  0.372
Ho  0.213  0.439  0.872
Ho  0.276  0.575  0.590
Ho  0.276  0.925  0.090
Ho  0.724  0.075  0.910
Ho  0.724  0.425  0.410
Ho  0.787  0.561  0.128
Ho  0.787  0.939  0.628
H  0.053  0.120  0.885
H  0.053  0.380  0.385
H  0.446  0.589  0.143
H  0.446  0.911  0.643
H  0.554  0.089  0.357
H  0.554  0.411  0.857
H  0.947  0.620  0.615
H  0.947  0.880  0.115
S  0.134  0.170  0.634
S  0.134  0.330  0.134
S  0.411  0.691  0.367
S  0.411  0.809  0.867
S  0.589  0.191  0.133
S  0.589  0.309  0.633
S  0.866  0.670  0.866
S  0.866  0.830  0.366
O  0.030  0.546  0.630
O  0.030  0.954  0.130
O  0.049  0.593  0.902
O  0.049  0.907  0.402
O  0.096  0.199  0.157
O  0.096  0.301  0.657
O  0.124  0.172  0.494
O  0.124  0.328  0.994
O  0.230  0.627  0.352
O  0.230  0.873  0.852
O  0.319  0.738  0.204
O  0.319  0.762  0.704
O  0.359  0.125  0.785
O  0.359  0.375  0.285
O  0.401  0.104  0.069
O  0.401  0.396  0.569
O  0.486  0.013  0.357
O  0.486  0.487  0.857
O  0.496  0.704  0.983
O  0.496  0.796  0.483
O  0.504  0.204  0.517
O  0.504  0.296  0.017
O  0.514  0.513  0.143
O  0.514  0.987  0.643
O  0.599  0.604  0.431
O  0.599  0.896  0.931
O  0.641  0.625  0.715
O  0.641  0.875  0.215
O  0.681  0.238  0.296
O  0.681  0.262  0.796
O  0.770  0.127  0.148
O  0.770  0.373  0.648
O  0.876  0.672  0.006
O  0.876  0.828  0.506
O  0.904  0.699  0.343
O  0.904  0.801  0.843
O  0.951  0.093  0.598
O  0.951  0.407  0.098
O  0.970  0.046  0.870
O  0.970  0.454  0.370

---

No. 3
A plane-wave DFT calculation with SCAN was carried out for a crystal of InHIN2 relaxed with PBEsol.

abc: 4.351 4.351 3.456
angles: 90.00 90.00 90.00
Atoms (fractional coordinates):
In  0.000  0.000  0.000
H  0.500  0.500  0.500
I  0.500  0.500  0.000
N  0.000  0.500  0.500
N  0.500  0.000  0.500

---

No. 4
A plane-wave DFT calculation with SCAN was carried out for a crystal of InHI2N relaxed with PBEsol.

abc: 6.272 6.272 3.005
angles: 90.00 90.00 90.00
Atoms (fractional coordinates):
In  0.000  0.000  0.000
H  0.500  0.500  0.500
I  0.000  0.500  0.500
I  0.500  0.000  0.500
N  0.500  0.500  0.000

---

Number 1: E -1.1432 Ry per atom. Number 2: E -1.0309 Ry per atom. Number 3: E -1.2035 Ry per atom. Number 4: E -1.7021 Ry per atom.